[1]
GaHg2Br: relaxed, GGA-PBE.

```
GaHg2Br
1.0
6.9819 0.0000 0.0000
0.0000 6.9819 0.0000
0.0000 0.0000 11.9511
Ga Hg Br
4 8 4
Cartesian
0.0000 0.0000 0.0000 Ga
0.0000 3.4909 2.9878 Ga
3.4909 0.0000 8.9633 Ga
3.4909 3.4909 5.9755 Ga
1.4450 1.7455 1.4939 Hg
1.7455 4.9359 4.4817 Hg
1.7455 5.5369 10.4572 Hg
2.0459 1.7455 7.4694 Hg
4.9359 5.2364 7.4694 Hg
5.2364 1.4450 10.4572 Hg
5.2364 2.0459 4.4817 Hg
5.5369 5.2364 1.4939 Hg
0.0000 0.0000 5.9755 Br
0.0000 3.4909 8.9633 Br
3.4909 0.0000 2.9878 Br
3.4909 3.4909 0.0000 Br
```

E (eV per atom): -1.443
V (Å³/f.u.): 145.6
Density of states at the Fermi level (states/eV/cell): 0.00
E_form (uncorrected) (eV/atom): -0.117
Magnetic moment (Bohr magnetons per cell): 0.0

***

[2]
Ga3Hg2Br6: relaxed, GGA-PBE.

```
Ga3Hg2Br6
1.0
7.1238 -3.2947 0.0000
7.1238 3.2947 0.0000
-5.4778 0.0000 16.8575
Ga Hg Br
6 4 12
Cartesian
0.7651 0.5101 4.8865 Ga
-1.9739 -0.5101 13.3153 Ga
3.0155 1.6839 12.6432 Ga
5.7544 -1.6839 4.2144 Ga
10.7437 0.5101 3.5423 Ga
8.0048 -0.5101 11.9711 Ga
0.7462 2.2002 16.6855 Hg
5.2848 2.2002 8.6009 Hg
3.4851 -2.2002 8.2567 Hg
8.0237 -2.2002 0.1721 Hg
-0.8331 0.8628 11.5570 Br
-1.6543 0.5936 15.4280 Br
1.0846 -0.5936 6.9992 Br
1.9058 -0.8628 3.1282 Br
3.4841 0.3147 10.7175 Br
2.5468 0.3147 14.5688 Br
6.2231 -0.3147 2.2887 Br
5.2857 -0.3147 6.1401 Br
6.8640 0.8628 13.7293 Br
7.6853 0.5936 9.8584 Br
10.4242 -0.5936 1.4296 Br
9.6030 -0.8628 5.3006 Br
```

E (eV per atom): -2.324
V (Å³/f.u.): 395.7
Density of states at the Fermi level (states/eV/cell): 5.15
E_form (uncorrected) (eV/atom): -0.531
Magnetic moment (Bohr magnetons per cell): 0.0

***

[3]
GaHgBr4: relaxed, GGA-PBE.

```
GaHgBr4
1.0
5.7794 0.0000 0.0000
-0.8215 6.6858 0.0000
-2.2548 -3.4095 5.9157
Ga Hg Br
1 1 4
Cartesian
0.0000 0.0000 0.0000 Ga
1.2890 4.5564 1.6946 Hg
-1.8339 2.0633 4.3581 Br
1.2165 1.2670 1.5777 Br
1.8760 -2.1011 4.9156 Br
4.1417 4.8230 1.5090 Br
```

E (eV per atom): -2.258
V (Å³/f.u.): 228.6
Density of states at the Fermi level (states/eV/cell): 0.35
E_form (uncorrected) (eV/atom): -0.588
Magnetic moment (Bohr magnetons per cell): 0.0

***

[4]
GaHgBr2: relaxed, GGA-PBE.

```
GaHgBr2
1.0
4.1345 0.0000 0.0000
-2.0673 3.5806 0.0000
0.0000 0.0000 27.9339
Ga Hg Br
3 3 6
Cartesian
0.0000 0.0000 0.0000 Ga
0.0000 2.3871 18.6226 Ga
2.0673 1.1935 9.3113 Ga
0.0000 0.0000 13.9670 Hg
0.0000 2.3871 4.6557 Hg
2.0673 1.1935 23.2782 Hg
0.0000 0.0000 2.8226 Br
0.0000 0.0000 25.1114 Br
0.0000 2.3871 15.8001 Br
0.0000 2.3871 21.4451 Br
2.0673 1.1935 6.4888 Br
2.0673 1.1935 12.1338 Br
```

E (eV per atom): -1.775
V (Å³/f.u.): 137.8
Density of states at the Fermi level (states/eV/cell): 11.96
E_form (uncorrected) (eV/atom): -0.107
Magnetic moment (Bohr magnetons per cell): 0.0

***

[5]
Ga2HgBr4: relaxed, GGA-PBE.

```
Ga2HgBr4
1.0
18.5010 0.0000 0.0000
0.0000 10.0167 0.0000
0.0000 0.0000 6.7736
Ga Hg Br
8 4 16
Cartesian
0.0000 0.0000 0.0000 Ga
0.0000 5.0083 0.0000 Ga
1.2928 2.5042 2.7611 Ga
7.9577 7.5125 6.1479 Ga
9.2505 0.0000 3.3868 Ga
9.2505 5.0083 3.3868 Ga
10.5433 2.5042 0.6257 Ga
17.2082 7.5125 4.0125 Ga
3.9135 7.5125 0.6140 Hg
5.3370 2.5042 4.0008 Hg
13.1640 7.5125 2.7728 Hg
14.5875 2.5042 6.1596 Hg
0.9300 7.5125 4.8954 Br
1.2473 2.5042 5.1460 Br
2.3685 0.5420 2.0162 Br
2.3685 4.4664 2.0162 Br
6.8820 5.5503 5.4030 Br
6.8820 9.4747 5.4030 Br
8.0032 7.5125 1.7592 Br
8.3205 2.5042 1.5086 Br
10.1805 7.5125 5.2650 Br
10.4978 2.5042 5.0144 Br
11.6190 0.5420 1.3706 Br
11.6190 4.4664 1.3706 Br
16.1325 5.5503 4.7574 Br
16.1325 9.4747 4.7574 Br
17.2537 7.5125 1.6276 Br
17.5710 2.5042 1.8782 Br
```

E (eV per atom): -2.488
V (Å³/f.u.): 313.8
Density of states at the Fermi level (states/eV/cell): 0.00
E_form (uncorrected) (eV/atom): -0.624
Magnetic moment (Bohr magnetons per cell): 0.0

***

[6]
Ga5Hg3Br12: relaxed, GGA-PBE.

```
Ga5Hg3Br12
1.0
-9.0804 9.0804 9.0804
9.0804 -9.0804 9.0804
9.0804 9.0804 -9.0804
Ga Hg Br
20 12 48
Cartesian
0.0000 0.0000 0.0000 Ga
4.5402 4.5402 -4.5402 Ga
4.5402 -4.5402 4.5402 Ga
9.0804 0.0000 0.0000 Ga
13.6207 2.2701 0.0000 Ga
9.0804 -4.5402 6.8103 Ga
6.8103 9.0804 -4.5402 Ga
6.8103 0.0000 4.5402 Ga
4.5402 6.8103 0.0000 Ga
9.0804 4.5402 2.2701 Ga
-4.5402 4.5402 4.5402 Ga
0.0000 9.0804 0.0000 Ga
0.0000 0.0000 9.0804 Ga
4.5402 4.5402 4.5402 Ga
0.0000 4.5402 6.8103 Ga
4.5402 2.2701 9.0804 Ga
2.2701 9.0804 4.5402 Ga
2.2701 0.0000 13.6207 Ga
0.0000 13.6207 2.2701 Ga
-4.5402 6.8103 9.0804 Ga
4.5402 2.2701 0.0000 Hg
9.0804 4.5402 -2.2701 Hg
2.2701 0.0000 4.5402 Hg
11.3505 0.0000 4.5402 Hg
0.0000 4.5402 2.2701 Hg
4.5402 -2.2701 9.0804 Hg
4.5402 11.3505 0.0000 Hg
9.0804 4.5402 6.8103 Hg
-2.2701 9.0804 4.5402 Hg
6.8103 9.0804 4.5402 Hg
0.0000 4.5402 11.3505 Hg
4.5402 6.8103 9.0804 Hg
2.9039 -0.8658 0.9998 Br
10.7168 5.5401 -5.4060 Br
11.9843 0.8658 0.9998 Br
10.7168 -3.5404 5.4060 Br
8.2147 -0.9998 2.9039 Br
14.4864 -1.6363 3.5404 Br
0.9998 2.9039 -0.8658 Br
12.6208 3.6744 -1.6363 Br
5.5401 5.4060 -1.6363 Br
8.0806 2.9039 0.8658 Br
-0.8658 0.9998 2.9039 Br
5.4060 -1.6363 5.5401 Br
8.2147 8.0806 -2.9039 Br
5.4060 1.6363 3.5404 Br
5.5401 -5.4060 10.7168 Br
8.0806 -2.9039 8.2147 Br
3.5404 5.4060 1.6363 Br
10.0803 6.1766 0.8658 Br
5.4060 10.7168 -3.5404 Br
8.2147 0.9998 6.1766 Br
2.9039 8.2147 -0.9998 Br
10.7168 3.5404 3.6744 Br
1.6363 3.5404 5.4060 Br
2.9039 0.8658 8.0806 Br
6.1766 8.2147 0.9998 Br
7.4441 5.5401 3.6744 Br
-1.6363 5.5401 5.4060 Br
6.1766 0.8658 10.0803 Br
0.8658 8.0806 2.9039 Br
3.6744 -1.6363 12.6208 Br
-0.9998 2.9039 8.2147 Br
5.5401 3.6744 7.4441 Br
0.9998 11.9843 0.8658 Br
3.5404 14.4864 -1.6363 Br
3.6744 7.4441 5.5401 Br
0.8658 0.9998 11.9843 Br
3.6744 10.7168 3.5404 Br
9.9462 8.0806 6.1766 Br
0.9998 6.1766 8.2147 Br
3.5404 3.6744 10.7168 Br
-3.5404 5.4060 10.7168 Br
8.0806 6.1766 9.9462 Br
-5.4060 10.7168 5.5401 Br
0.8658 10.0803 6.1766 Br
-1.6363 12.6208 3.6744 Br
-2.9039 8.2147 8.0806 Br
-1.6363 3.5404 14.4864 Br
6.1766 9.9462 8.0806 Br
```

E (eV per atom): -2.374
V (Å³/f.u.): 748.7
Density of states at the Fermi level (states/eV/cell): 78.97
E_form (uncorrected) (eV/atom): -0.569
Magnetic moment (Bohr magnetons per cell): 1.5

***

[7]
GaHg4Br: relaxed, GGA-PBE.

```
GaHg4Br
1.0
0.0000 4.4710 4.4710
4.4710 0.0000 4.4710
4.4710 4.4710 0.0000
Ga Hg Br
1 4 1
Cartesian
0.0000 0.0000 0.0000 Ga
5.5860 3.3560 3.3560 Hg
3.3560 5.5860 3.3560 Hg
3.3560 3.3560 5.5860 Hg
5.5860 5.5860 5.5860 Hg
2.2355 2.2355 2.2355 Br
```

E (eV per atom): -0.998
V (Å³/f.u.): 178.7
Density of states at the Fermi level (states/eV/cell): 2.03
E_form (uncorrected) (eV/atom): -0.013
Magnetic moment (Bohr magnetons per cell): 0.0

***

[8]
Ga2HgBr6: relaxed, GGA-PBE.

```
Ga2HgBr6
1.0
8.3458 -7.7564 0.0000
8.3458 7.7564 0.0000
-2.7996 0.0000 6.7914
Ga Hg Br
4 2 12
Cartesian
2.5971 3.0863 1.8865 Ga
1.1973 -3.0863 5.2822 Ga
12.6947 3.0863 1.5092 Ga
11.2949 -3.0863 4.9049 Ga
6.2461 0.0956 5.0935 Hg
7.6459 -0.0956 1.6978 Hg
4.1661 4.8352 2.7403 Br
4.3120 3.7548 6.5007 Br
3.7568 1.1588 1.4731 Br
2.3570 -1.1588 4.8688 Br
8.1802 3.7548 3.6864 Br
11.1257 4.8352 0.6554 Br
2.7663 -4.8352 6.1360 Br
5.7118 -3.7548 3.1050 Br
11.5350 1.1588 1.9226 Br
10.1352 -1.1588 5.3183 Br
9.5800 -3.7548 0.2907 Br
9.7259 -4.8352 4.0511 Br
```

E (eV per atom): -2.522
V (Å³/f.u.): 439.6
Density of states at the Fermi level (states/eV/cell): 0.00
E_form (uncorrected) (eV/atom): -0.701
Magnetic moment (Bohr magnetons per cell): 0.0